{
  "formula": "Sc3CoO7",
  "functional": "GGA+U",
  "state": "optimized geometry",
  "lattice": [[6.0492, 0.1017, 0.0000], [-1.9996, 5.7101, 0.0000], [0.0000, 0.0000, 6.8984]],
  "species": ["O", "O", "O", "O", "O", "O", "O", "O", "O", "O", "O", "O", "O", "O", "Co", "Co", "Sc", "Sc", "Sc", "Sc", "Sc", "Sc"],
  "frac_coords": [[0.9210, 0.6728, 0.0251], [0.3586, 0.6414, 0.7500], [0.6289, 0.3711, 0.7500], [0.3272, 0.0790, 0.4749], [0.3711, 0.6289, 0.2500], [0.9502, 0.6899, 0.4627], [0.0708, 0.9292, 0.7500], [0.0498, 0.3101, 0.9627], [0.6414, 0.3586, 0.2500], [0.6728, 0.9210, 0.9749], [0.9292, 0.0708, 0.2500], [0.0790, 0.3272, 0.5251], [0.3101, 0.0498, 0.0373], [0.6899, 0.9502, 0.5373], [0.9966, 0.9966, 0.5000], [0.0034, 0.0034, 0.0000], [0.9971, 0.5390, 0.7424], [0.5390, 0.9971, 0.2576], [0.4542, 0.4542, 0.5000], [0.0029, 0.4610, 0.2424], [0.4610, 0.0029, 0.7576], [0.5458, 0.5458, 0.0000]],
  "dos_at_fermi_per_ev_cell": 2.03,
  "final_energy_ev_per_atom": -7.857
}